# Tl3BiTe4

A relaxed structure of Tl3BiTe4 (GGA-PBE, Alexandria).

a = 4.5857 Å, b = 8.0184 Å, c = 8.0184 Å
α = 109.67°, β = 90.00°, γ = 90.00°
With the nearest neighbours (Å) after each atom.
Positions (direct):
Te (0.0000, 0.7629, 0.7629)  2 Bi 3.17, 4 Tl 3.28-3.34
Te (0.5000, 0.7573, 0.2427)  1 Bi 3.18, 5 Tl 3.26-3.37
Te (0.5000, 0.2427, 0.7573)  1 Bi 3.18, 5 Tl 3.26-3.37
Te (0.0000, 0.2371, 0.2371)  2 Bi 3.17, 4 Tl 3.28-3.34
Bi (0.5000, 0.0000, 0.0000)  6 Te 3.17-3.18
Tl (0.5000, 0.5000, 0.5000)  6 Te 3.34-3.37
Tl (0.0000, 0.0000, 0.5000)  6 Te 3.26-3.28
Tl (0.0000, 0.5000, 0.0000)  6 Te 3.26-3.28

M_tot, μB per cell: 0.00
Electronic total energy, eV per atom: -3.16
Offset from the most stable computed form, meV/atom: 0
Energy relative to the elements, uncorrected, eV per formula unit: -1.772